# 1
Na2MoSe | PBE | optimized geometry

Cell lengths 10.044, 10.044, 7.514 Å; angles 48.06, 48.06, 90.00 degrees
Sites, in units of the cell vectors:
Na (0.504, 0.125, 0.250)
Na (0.246, 0.625, 0.250)
Na (0.375, 0.496, 0.750)
Na (0.875, 0.754, 0.750)
Mo (0.000, 0.000, 0.000)
Mo (0.750, 0.250, 0.500)
Se (0.500, 0.500, 0.000)
Se (0.250, 0.750, 0.500)

=====

# 2
NaMoSe2 | PBE | optimized geometry

Cell lengths 6.431, 6.431, 7.168 Å; angles 63.35, 63.35, 90.00 degrees
Sites, in units of the cell vectors:
Na (0.500, 0.500, 0.000)
Na (0.250, 0.750, 0.500)
Mo (0.000, 0.000, 0.000)
Mo (0.750, 0.250, 0.500)
Se (0.691, 0.125, 0.250)
Se (0.059, 0.625, 0.250)
Se (0.375, 0.309, 0.750)
Se (0.875, 0.941, 0.750)

=====

# 3
NaMo3Se4 | PBE | optimized geometry

Cell lengths 7.107, 6.968, 7.093 Å; angles 95.87, 88.90, 99.00 degrees
Sites, in units of the cell vectors:
Na (0.013, 0.719, 0.921)
Na (0.987, 0.281, 0.079)
Mo (0.250, 0.897, 0.558)
Mo (0.750, 0.103, 0.442)
Mo (0.544, 0.738, 0.408)
Mo (0.456, 0.262, 0.592)
Mo (0.586, 0.965, 0.750)
Mo (0.414, 0.035, 0.250)
Se (0.772, 0.318, 0.761)
Se (0.228, 0.682, 0.239)
Se (0.712, 0.891, 0.111)
Se (0.288, 0.109, 0.889)
Se (0.857, 0.803, 0.585)
Se (0.143, 0.197, 0.415)
Se (0.378, 0.624, 0.722)
Se (0.622, 0.376, 0.278)

=====

# 4
NaMo2Se | PBE | optimized geometry

Cell lengths 4.608, 4.608, 9.882 Å; angles 76.52, 76.52, 90.00 degrees
Sites, in units of the cell vectors:
Na (0.500, 0.500, 0.000)
Na (0.250, 0.750, 0.500)
Mo (0.841, 0.125, 0.250)
Mo (0.909, 0.625, 0.250)
Mo (0.375, 0.159, 0.750)
Mo (0.875, 0.091, 0.750)
Se (0.000, 0.000, 0.000)
Se (0.750, 0.250, 0.500)

=====

# 5
Na3MoSe | PBE | optimized geometry

Cell lengths 5.546, 5.546, 5.546 Å; angles 90.00, 90.00, 90.00 degrees
Sites, in units of the cell vectors:
Na (0.000, 0.500, 0.000)
Na (0.000, 0.000, 0.500)
Na (0.500, 0.000, 0.000)
Mo (0.500, 0.500, 0.500)
Se (0.000, 0.000, 0.000)

The value obtained for the energy above the most stable polymorph in this dataset is 0 meV/atom.

=====

# 6
NaMo3Se3 | PBE | optimized geometry

Cell lengths 8.813, 8.813, 4.517 Å; angles 90.00, 90.00, 120.00 degrees
Sites, in units of the cell vectors:
Na (0.667, 0.333, 0.750)
Na (0.333, 0.667, 0.250)
Mo (0.956, 0.807, 0.750)
Mo (0.851, 0.044, 0.750)
Mo (0.193, 0.149, 0.750)
Mo (0.044, 0.193, 0.250)
Mo (0.149, 0.956, 0.250)
Mo (0.807, 0.851, 0.250)
Se (0.295, 0.914, 0.750)
Se (0.619, 0.705, 0.750)
Se (0.086, 0.381, 0.750)
Se (0.705, 0.086, 0.250)
Se (0.381, 0.295, 0.250)
Se (0.914, 0.619, 0.250)

=====

# 7
Na3MoSe | PBE | optimized geometry

Cell lengths 5.746, 5.746, 5.746 Å; angles 90.00, 90.00, 90.00 degrees
Sites, in units of the cell vectors:
Na (0.000, 0.500, 0.000)
Na (0.000, 0.000, 0.500)
Na (0.500, 0.000, 0.000)
Mo (0.000, 0.000, 0.000)
Se (0.500, 0.500, 0.500)

The value obtained for the energy above the most stable polymorph in this dataset is 586 meV/atom.

=====

# 8
Na2TiMoSe | PBE | optimized geometry

Cell lengths 5.561, 4.485, 5.561 Å; angles 90.00, 90.00, 90.00 degrees
Sites, in units of the cell vectors:
Na (0.000, 0.000, 0.500)
Na (0.500, 0.000, 0.000)
Mo (0.000, 0.500, 0.000)
Se (0.500, 0.500, 0.500)
Ti (0.000, 0.000, 0.000)

=====

# 9
Na2Tl3MoSe6 | PBE | optimized geometry

Cell lengths 7.309, 7.309, 7.309 Å; angles 99.64, 99.64, 120.05 degrees
Sites, in units of the cell vectors:
Na (0.332, 0.668, 0.000)
Na (0.668, 0.332, 0.000)
Tl (0.157, 0.843, 0.500)
Tl (0.843, 0.157, 0.500)
Tl (0.500, 0.500, 0.500)
Mo (0.000, 0.000, 0.000)
Se (0.929, 0.644, 0.782)
Se (0.778, 0.778, 0.212)
Se (0.071, 0.356, 0.218)
Se (0.644, 0.929, 0.782)
Se (0.222, 0.222, 0.788)
Se (0.356, 0.071, 0.218)

=====

# 10
Na2Tl2MoSe6 | PBE | optimized geometry

Cell lengths 7.166, 7.166, 6.971 Å; angles 99.34, 99.34, 116.24 degrees
Sites, in units of the cell vectors:
Na (0.335, 0.665, 0.500)
Na (0.665, 0.335, 0.500)
Tl (0.836, 0.164, 0.000)
Tl (0.164, 0.836, 0.000)
Mo (0.000, 0.000, 0.500)
Se (0.781, 0.781, 0.711)
Se (0.055, 0.351, 0.726)
Se (0.219, 0.219, 0.289)
Se (0.351, 0.055, 0.726)
Se (0.945, 0.649, 0.274)
Se (0.649, 0.945, 0.274)

=====

# 11
Na3SiMo | PBE | optimized geometry

Cell lengths 5.535, 5.535, 5.535 Å; angles 90.00, 90.00, 90.00 degrees
Sites, in units of the cell vectors:
Na (0.000, 0.500, 0.000)
Na (0.000, 0.000, 0.500)
Na (0.500, 0.000, 0.000)
Mo (0.500, 0.500, 0.500)
Si (0.000, 0.000, 0.000)

The value obtained for the energy above the most stable polymorph in this dataset is 0 meV/atom.

=====

# 12
Na3SiMo | PBE | optimized geometry

Cell lengths 5.728, 5.728, 5.728 Å; angles 90.00, 90.00, 90.00 degrees
Sites, in units of the cell vectors:
Na (0.000, 0.500, 0.000)
Na (0.000, 0.000, 0.500)
Na (0.500, 0.000, 0.000)
Mo (0.000, 0.000, 0.000)
Si (0.500, 0.500, 0.500)

The value obtained for the energy above the most stable polymorph in this dataset is 373 meV/atom.

=====

# 13
NaSi3Mo | PBE | optimized geometry

Cell lengths 4.788, 4.788, 4.788 Å; angles 90.00, 90.00, 90.00 degrees
Sites, in units of the cell vectors:
Na (0.500, 0.500, 0.500)
Mo (0.000, 0.000, 0.000)
Si (0.000, 0.500, 0.000)
Si (0.000, 0.000, 0.500)
Si (0.500, 0.000, 0.000)

The value obtained for the energy above the most stable polymorph in this dataset is 0 meV/atom.

=====

# 14
Na2Si2Mo | PBE | optimized geometry

Cell lengths 6.494, 6.494, 4.998 Å; angles 90.00, 90.00, 90.00 degrees
Sites, in units of the cell vectors:
Na (0.178, 0.678, 0.500)
Na (0.678, 0.822, 0.500)
Na (0.822, 0.322, 0.500)
Na (0.322, 0.178, 0.500)
Mo (0.000, 0.000, 0.000)
Mo (0.500, 0.500, 0.000)
Si (0.368, 0.868, 0.000)
Si (0.868, 0.632, 0.000)
Si (0.632, 0.132, 0.000)
Si (0.132, 0.368, 0.000)

=====

# 15
NaSi2Mo | PBE | optimized geometry

Cell lengths 4.443, 4.443, 4.443 Å; angles 60.00, 60.00, 60.00 degrees
Sites, in units of the cell vectors:
Na (0.000, 0.000, 0.000)
Mo (0.500, 0.500, 0.500)
Si (0.250, 0.250, 0.250)
Si (0.750, 0.750, 0.750)

The value obtained for the energy above the most stable polymorph in this dataset is 0 meV/atom.

=====

# 16
NaSi2Mo2 | PBE | optimized geometry

Cell lengths 4.685, 4.685, 5.346 Å; angles 64.01, 64.01, 90.00 degrees
Sites, in units of the cell vectors:
Na (0.000, 0.000, 0.000)
Mo (0.360, 0.360, 0.281)
Mo (0.640, 0.640, 0.719)
Si (0.750, 0.250, 0.500)
Si (0.250, 0.750, 0.500)

The value obtained for the energy above the most stable polymorph in this dataset is 282 meV/atom.

=====

# 17
NaSi3Mo | PBE | optimized geometry

Cell lengths 4.741, 4.741, 4.741 Å; angles 90.00, 90.00, 90.00 degrees
Sites, in units of the cell vectors:
Na (0.000, 0.000, 0.000)
Mo (0.500, 0.500, 0.500)
Si (0.000, 0.500, 0.000)
Si (0.000, 0.000, 0.500)
Si (0.500, 0.000, 0.000)

The value obtained for the energy above the most stable polymorph in this dataset is 1659 meV/atom.

=====

# 18
NaSi2Mo2 | PBE | optimized geometry

Cell lengths 6.852, 6.852, 3.254 Å; angles 90.00, 90.00, 90.00 degrees
Sites, in units of the cell vectors:
Na (0.000, 0.000, 0.000)
Na (0.500, 0.500, 0.000)
Mo (0.163, 0.663, 0.500)
Mo (0.663, 0.837, 0.500)
Mo (0.837, 0.337, 0.500)
Mo (0.337, 0.163, 0.500)
Si (0.371, 0.871, 0.000)
Si (0.871, 0.629, 0.000)
Si (0.629, 0.129, 0.000)
Si (0.129, 0.371, 0.000)

The value obtained for the energy above the most stable polymorph in this dataset is 0 meV/atom.

=====

# 19
NaSiMo2 | PBE | optimized geometry

Cell lengths 4.612, 4.612, 9.653 Å; angles 76.18, 76.18, 90.00 degrees
Sites, in units of the cell vectors:
Na (0.500, 0.500, 0.000)
Na (0.250, 0.750, 0.500)
Mo (0.910, 0.125, 0.250)
Mo (0.840, 0.625, 0.250)
Mo (0.375, 0.090, 0.750)
Mo (0.875, 0.160, 0.750)
Si (0.000, 0.000, 0.000)
Si (0.750, 0.250, 0.500)

=====

# 20
NaSi2Mo | PBE | optimized geometry

Cell lengths 5.141, 5.141, 8.775 Å; angles 72.97, 72.97, 90.00 degrees
Sites, in units of the cell vectors:
Na (0.500, 0.500, 0.000)
Na (0.250, 0.750, 0.500)
Mo (0.000, 0.000, 0.000)
Mo (0.750, 0.250, 0.500)
Si (0.839, 0.125, 0.250)
Si (0.911, 0.625, 0.250)
Si (0.375, 0.161, 0.750)
Si (0.875, 0.089, 0.750)

The value obtained for the energy above the most stable polymorph in this dataset is 123 meV/atom.

=====

no.,M_tot (μB per formula unit),formation energy without anion corrections (meV per atom)
1,3.86,416
2,0.00,-324
3,0.00,-640
4,0.00,848
5,5.03,459
6,0.00,-637
7,5.00,1045
8,0.86,1119
9,0.00,-497
10,0.00,-409
11,4.96,1250
12,3.97,1622
13,0.00,268
14,2.13,416
15,0.73,432
16,0.00,279
17,3.40,1927
18,0.00,-3
19,0.00,1113
20,0.98,556